1.
Material: CrFeW2
Method: DFT, meta-GGA SCAN
State: single point on PBEsol structure

Unit cell a=4.242 b=4.242 c=4.242 alpha=60.00 beta=60.00 gamma=60.00
Atoms (fractional coordinates):
Fe (0.250, 0.250, 0.250)
W (0.750, 0.750, 0.750)
W (0.000, 0.000, 0.000)
Cr (0.500, 0.500, 0.500)

Computed properties:
The formation energy comes out at 186 meV per atom. The offset from the most stable computed form comes out at 0.086 eV per atom.

---

2.
Material: CrFeW2
Method: DFT, meta-GGA SCAN
State: single point on PBEsol structure

Unit cell a=2.746 b=2.746 c=8.581 alpha=80.79 beta=80.79 gamma=60.00
Atoms (fractional coordinates):
Fe (0.000, 0.000, 0.000)
Cr (0.500, 0.500, 0.500)
W (0.748, 0.748, 0.755)
W (0.252, 0.252, 0.245)

Computed properties:
The formation energy comes out at 464 meV per atom. The offset from the most stable computed form comes out at 0.363 eV per atom.

---

3.
Material: CrFe4W
Method: DFT, meta-GGA SCAN
State: single point on PBEsol structure

Unit cell a=4.578 b=4.578 c=4.578 alpha=60.00 beta=60.00 gamma=60.00
Atoms (fractional coordinates):
Fe (0.877, 0.374, 0.374)
Fe (0.374, 0.374, 0.374)
Fe (0.374, 0.374, 0.877)
Fe (0.374, 0.877, 0.374)
Cr (0.000, 0.000, 0.000)
W (0.750, 0.750, 0.750)

Computed properties:
The formation energy comes out at 152 meV per atom.

---

4.
Material: YCrFe2
Method: DFT, meta-GGA SCAN
State: single point on PBEsol structure

Unit cell a=4.333 b=4.333 c=4.333 alpha=60.00 beta=60.00 gamma=60.00
Atoms (fractional coordinates):
Cr (0.500, 0.500, 0.500)
Fe (0.000, 0.000, 0.000)
Fe (0.750, 0.750, 0.750)
Y (0.250, 0.250, 0.250)

Computed properties:
The formation energy comes out at 317 meV per atom.